Entry from the Alexandria database: crystalline CuAsW2 at its relaxed geometry (PBE).

Geometry as POSCAR:
```
CuAsW2
1.0
5.1048 0.0025 -0.0033
2.1455 4.6321 0.0033
-3.1226 -3.1035 2.5840
As Cu W
1 1 2
Direct
0.7500 0.2500 0.5000
0.2500 0.7500 0.5000
0.9847 0.9847 0.0000
0.5153 0.5153 0.0000
```

Results
Symmetry: Immm, No. 71
Calculated formation energy, meV per atom: 409

=====

Entry from the Alexandria database: crystalline CuAsW2 at its relaxed geometry (PBE).

Geometry as POSCAR:
```
CuAsW2
1.0
3.0028 0.0000 0.0000
0.0000 3.0028 0.0000
0.0000 0.0000 6.5536
As Cu W
1 1 2
Direct
0.5000 0.5000 0.2500
0.5000 0.5000 0.7500
0.0000 0.0000 0.0044
0.0000 0.0000 0.4956
```

Results
Symmetry: P4/mmm, No. 123
Calculated formation energy, meV per atom: 432

=====

Entry from the Alexandria database: crystalline Cu2AsW at its relaxed geometry (PBE).

Geometry as POSCAR:
```
Cu2AsW
1.0
-2.1217 3.6349 1.0763
-2.3734 -1.2297 -0.5259
-1.3664 -2.0921 4.3718
As Cu W
1 2 1
Direct
0.5000 0.7500 0.7500
0.0000 0.8521 0.0030
0.0000 0.6479 0.4970
0.5000 0.2500 0.2500
```

Results
Symmetry: P2/m, No. 10
Calculated formation energy, meV per atom: 336

=====

Entry from the Alexandria database: crystalline CuAsW2 at its relaxed geometry (PBE).

Geometry as POSCAR:
```
CuAsW2
1.0
4.6930 -0.0078 -0.0125
3.6915 2.8977 -0.0125
0.6166 0.2125 4.5223
As Cu W
1 1 2
Direct
0.7500 0.7500 0.7500
0.2500 0.2500 0.2500
0.9938 0.9938 0.0117
0.5062 0.5062 0.4883
```

Results
Symmetry: C2/m, No. 12
Calculated formation energy, meV per atom: 417

=====

Entry from the Alexandria database: crystalline Cu2As2W at its relaxed geometry (PBE).

Geometry as POSCAR:
```
Cu2As2W
1.0
-0.3359 5.6924 3.4457
2.6711 -3.0445 5.2901
3.1537 0.8529 -1.1015
As Cu W
4 4 2
Direct
0.3437 0.8437 0.0000
0.8437 0.6563 0.0000
0.6563 0.1563 0.0000
0.1563 0.3437 0.0000
0.1417 0.6417 0.5000
0.6417 0.8583 0.5000
0.8583 0.3583 0.5000
0.3583 0.1417 0.5000
0.0000 0.0000 0.0000
0.5000 0.5000 0.0000
```

Results
Symmetry: P4/mbm, No. 127
Calculated formation energy, meV per atom: 281

=====

Entry from the Alexandria database: crystalline CuAsW at its relaxed geometry (PBE).

Geometry as POSCAR:
```
CuAsW
1.0
4.4205 0.0000 0.0000
-2.2103 3.8283 0.0000
0.0000 0.0000 2.7171
As Cu W
1 1 1
Direct
0.0000 0.0000 0.8395
0.6667 0.3333 0.3294
0.3333 0.6667 0.8312
```

Results
Symmetry: P3m1, No. 156
Calculated formation energy, meV per atom: 444
ΔE to the lowest computed polymorph, eV per atom: 0.221

=====

Entry from the Alexandria database: crystalline Cu2AsW at its relaxed geometry (PBE).

Geometry as POSCAR:
```
Cu2AsW
1.0
-4.5036 -0.2324 2.3425
-1.6246 -4.4219 1.9057
4.1921 2.8706 0.0985
As Cu W
1 2 1
Direct
0.2500 0.7500 0.5000
0.0000 0.0000 0.0000
0.5000 0.5000 0.0000
0.7500 0.2500 0.5000
```

Results
Symmetry: I4/mmm, No. 139
Calculated formation energy, meV per atom: 439

=====

Entry from the Alexandria database: crystalline CuAsW2 at its relaxed geometry (PBE).

Geometry as POSCAR:
```
CuAsW2
1.0
4.9998 0.0030 -0.0027
2.0524 4.5592 0.0027
-3.1241 -2.9024 2.6104
As Cu W
1 1 2
Direct
0.4945 0.4945 0.0000
0.2637 0.7637 0.5000
0.9999 0.9999 0.0000
0.7420 0.2420 0.5000
```

Results
Symmetry: Imm2, No. 44
Calculated formation energy, meV per atom: 371

=====

Entry from the Alexandria database: crystalline CuAsW at its relaxed geometry (PBE).

Geometry as POSCAR:
```
CuAsW
1.0
-2.0541 1.9398 2.9969
-3.9899 0.8986 -0.4862
-2.8470 -2.0197 2.1860
As Cu W
1 1 1
Direct
0.7500 0.7500 0.7500
0.0000 0.0000 0.0000
0.5000 0.5000 0.5000
```

Results
Symmetry: F-43m, No. 216
Calculated formation energy, meV per atom: 588
ΔE to the lowest computed polymorph, eV per atom: 0.365

=====

Entry from the Alexandria database: crystalline CuAsW at its relaxed geometry (PBE).

Geometry as POSCAR:
```
CuAsW
1.0
3.8517 -0.0282 0.8846
1.8997 3.3507 0.8846
3.9817 2.3002 9.3634
Cu As W
2 2 2
Direct
0.1271 0.1271 0.0682
0.6262 0.6262 0.2392
0.8087 0.8087 0.3875
0.9445 0.9445 0.9199
0.2910 0.2910 0.5738
0.4621 0.4621 0.7335
```

Results
Symmetry: C2/m, No. 12
Calculated formation energy, meV per atom: 223
ΔE to the lowest computed polymorph, eV per atom: 0.000

=====

Entry from the Alexandria database: crystalline CuAsW at its relaxed geometry (PBE).

Geometry as POSCAR:
```
CuAsW
1.0
6.8198 0.0437 0.0000
5.6598 3.8051 0.0000
-6.2398 -1.9244 1.9681
As Cu W
1 1 1
Direct
0.0188 0.0188 0.0000
0.3092 0.3092 0.0000
0.6720 0.6720 0.0000
```

Results
Symmetry: I4mm, No. 107
Calculated formation energy, meV per atom: 497
ΔE to the lowest computed polymorph, eV per atom: 0.274

=====

Entry from the Alexandria database: crystalline CuAsW at its relaxed geometry (PBE).

Geometry as POSCAR:
```
CuAsW
1.0
4.2226 0.0000 0.0000
2.1113 3.6569 0.0000
2.1113 1.2190 3.4478
As Cu W
1 1 1
Direct
0.0000 0.0000 0.0000
0.5000 0.5000 0.5000
0.7500 0.7500 0.7500
```

Results
Symmetry: F-43m, No. 216
Calculated formation energy, meV per atom: 658
ΔE to the lowest computed polymorph, eV per atom: 0.435

=====

Entry from the Alexandria database: crystalline Cu2AsW at its relaxed geometry (PBE).

Geometry as POSCAR:
```
Cu2AsW
1.0
-0.4819 -2.3374 6.5388
0.7056 -6.5371 -2.2848
2.5716 -4.2576 2.3725
As Cu W
2 4 2
Direct
0.5000 0.5000 0.0000
0.2500 0.7500 0.5000
0.6056 0.1250 0.2500
0.1444 0.6250 0.2500
0.3750 0.3944 0.7500
0.8750 0.8556 0.7500
0.0000 0.0000 0.0000
0.7500 0.2500 0.5000
```

Results
Symmetry: I-42d, No. 122
Calculated formation energy, meV per atom: 496

=====

Entry from the Alexandria database: crystalline CuAsW2 at its relaxed geometry (PBE).

Geometry as POSCAR:
```
CuAsW2
1.0
-2.9891 -0.9097 0.5887
1.4644 -2.6913 3.2764
-0.4187 3.1963 2.8127
As Cu W
1 1 2
Direct
0.5000 0.0000 0.5000
0.0000 0.5000 0.5000
0.0000 0.0000 0.0000
0.5000 0.5000 0.0000
```

Results
Symmetry: Pmmm, No. 47
Calculated formation energy, meV per atom: 479

=====

Entry from the Alexandria database: crystalline CuAsW4 at its relaxed geometry (PBE).

Geometry as POSCAR:
```
CuAsW4
1.0
4.1005 -3.2495 -0.7875
-0.7569 -4.7059 -2.2969
1.7842 -0.8673 -4.9049
Cu As W
1 1 4
Direct
0.0000 0.0000 0.0000
0.7500 0.7500 0.7500
0.8808 0.3731 0.3731
0.3731 0.3731 0.8808
0.3731 0.8808 0.3731
0.3731 0.3731 0.3731
```

Results
Symmetry: F-43m, No. 216
Calculated formation energy, meV per atom: 912

=====

Entry from the Alexandria database: crystalline Cu2AsW at its relaxed geometry (PBE).

Geometry as POSCAR:
```
Cu2AsW
1.0
-4.0548 -6.2028 -4.5087
-4.4693 -7.1900 -1.8905
-6.2299 -5.2559 -2.9680
As Cu W
1 2 1
Direct
0.7500 0.7500 0.7500
0.0017 0.0017 0.0017
0.4983 0.4983 0.4983
0.2500 0.2500 0.2500
```

Results
Symmetry: R-3m, No. 166
Calculated formation energy, meV per atom: 355

=====

Entry from the Alexandria database: crystalline Cu2AsW at its relaxed geometry (PBE).

Geometry as POSCAR:
```
Cu2AsW
1.0
4.3027 0.0000 0.0000
2.1513 3.7262 0.0000
2.1513 1.2421 3.5131
As Cu W
1 2 1
Direct
0.5000 0.5000 0.5000
0.0000 0.0000 0.0000
0.2500 0.2500 0.2500
0.7500 0.7500 0.7500
```

Results
Symmetry: F-43m, No. 216
Calculated formation energy, meV per atom: 428

=====

Entry from the Alexandria database: crystalline Cu2AsW at its relaxed geometry (PBE).

Geometry as POSCAR:
```
Cu2AsW
1.0
4.9080 -0.0140 0.0000
-2.2596 4.3569 0.0000
0.0000 0.0000 2.7000
As Cu W
1 2 1
Direct
0.0000 0.5000 0.5000
0.0000 0.0000 0.0000
0.5000 0.5000 0.0000
0.5000 0.0000 0.5000
```

Results
Symmetry: Cmmm, No. 65
Calculated formation energy, meV per atom: 299

=====

Entry from the Alexandria database: crystalline Cu2AsW at its relaxed geometry (PBE).

Geometry as POSCAR:
```
Cu2AsW
1.0
2.7070 -0.0549 0.0000
-0.1600 2.7028 0.0000
0.0000 0.0000 8.1071
As Cu W
1 2 1
Direct
0.5000 0.5000 0.7500
0.0000 0.0000 0.0063
0.0000 0.0000 0.4937
0.5000 0.5000 0.2500
```

Results
Symmetry: Cmmm, No. 65
Calculated formation energy, meV per atom: 313

=====

Entry from the Alexandria database: crystalline CuAsW2 at its relaxed geometry (PBE).

Geometry as POSCAR:
```
CuAsW2
1.0
8.7335 0.0125 0.0074
8.2567 2.8465 0.0074
8.2567 1.3894 2.4844
As Cu W
1 1 2
Direct
0.2500 0.2500 0.2500
0.7500 0.7500 0.7500
0.9991 0.9991 0.9991
0.5009 0.5009 0.5009
```

Results
Symmetry: R-3m, No. 166
Calculated formation energy, meV per atom: 505